1.
! Be2CoPt2 (PBE, relaxed); values from VASP
! **Energy of formation**: -0.472 eV per atom
! **Space-group type**: P4/mbm
! **Energy above the lowest structure with this stoichiometry**: 0 meV per atom
&SYSTEM
  ibrav = 0, nat = 10, ntyp = 3
/
ATOMIC_SPECIES
Be 9.01 Be.upf
Co 58.93 Co.upf
Pt 195.08 Pt.upf
CELL_PARAMETERS angstrom
-4.3215 4.9410 -0.3454
-4.9258 -4.3352 -0.3873
-0.2150 0.0018 2.7146
ATOMIC_POSITIONS angstrom
Be -5.9035 -1.9423 -0.4663
Be -6.8617 1.5867 -0.5444
Be -3.3437 2.5480 -0.2665
Be -2.3856 -0.9809 -0.1883
Co 0.0000 0.0000 0.0000
Co -4.6236 0.3029 -0.3664
Pt -4.1309 -2.0645 1.0400
Pt -7.0920 -0.2984 0.8044
Pt -5.3313 2.6720 0.9419
Pt -2.3702 0.9059 1.1775

---

2.
! Sc2CuCl (PBE, relaxed); values from VASP
! **Space-group type**: I-42d
! **Raw formation energy**: -0.36 eV/atom
! **Energy above the lowest structure with this stoichiometry**: 311 meV per atom
&SYSTEM
  ibrav = 0, nat = 8, ntyp = 3
/
ATOMIC_SPECIES
Sc 44.96 Sc.upf
Cu 63.55 Cu.upf
Cl 35.45 Cl.upf
CELL_PARAMETERS angstrom
6.8408 0.0000 0.0000
0.0000 6.8408 0.0000
3.4204 3.4204 3.5372
ATOMIC_POSITIONS angstrom
Sc 5.1038 1.7102 0.8843
Sc 1.7370 5.1306 0.8843
Sc 5.1306 5.1574 2.6529
Sc 8.5510 8.5243 2.6529
Cu 0.0000 0.0000 0.0000
Cu 6.8408 3.4204 1.7686
Cl 3.4204 3.4204 0.0000
Cl 3.4204 6.8408 1.7686

---

Number 1: electronic total energy -5.80 eV per atom. Number 2: electronic total energy -5.01 eV per atom.